Model 1:
! Fe4O5F3 | Alexandria via LeMat-Bulk | meta-GGA SCAN | single point on PBEsol structure; values from VASP
! Symmetry   Cm (8)
! Magnetization   6.89 μB/cell
&SYSTEM
  ibrav = 0, nat = 12, ntyp = 3
/
ATOMIC_SPECIES
F 19.00 F.upf
Fe 55.84 Fe.upf
O 16.00 O.upf
CELL_PARAMETERS angstrom
4.5681 0.0493 -0.0309
0.5937 5.3556 -0.0206
-0.5937 -2.3506 4.8122
ATOMIC_POSITIONS crystal
F 0.2262 0.3612 0.6388
Fe 0.5022 0.4998 0.5002
F 0.7726 0.6375 0.3625
O 0.2989 0.3468 0.1545
F 0.8297 0.1684 0.8316
O 0.6971 0.6588 0.8542
O 0.2989 0.8455 0.6532
O 0.1962 0.8415 0.1585
O 0.6971 0.1458 0.3412
Fe 0.0106 0.9905 0.4786
Fe 0.4598 0.9827 0.0173
Fe 0.0106 0.5214 0.0095

Model 2:
! Fe4O5F3 | Alexandria via LeMat-Bulk | meta-GGA SCAN | single point on PBEsol structure; values from VASP
! Symmetry   Amm2 (38)
! Magnetization   9.02 μB/cell
&SYSTEM
  ibrav = 0, nat = 12, ntyp = 3
/
ATOMIC_SPECIES
F 19.00 F.upf
O 16.00 O.upf
Fe 55.84 Fe.upf
CELL_PARAMETERS angstrom
0.0190 3.6763 -2.7112
-4.0948 -1.5828 -1.2622
-2.4764 3.0848 4.1654
ATOMIC_POSITIONS crystal
F 0.8114 0.1886 0.0000
O 0.1990 0.8010 0.5000
O 0.3018 0.3041 0.7494
Fe 0.4697 0.5303 0.5000
Fe 0.0106 0.9894 0.2674
Fe 0.5087 0.4913 0.0000
O 0.3018 0.3041 0.2506
F 0.7887 0.2113 0.5000
O 0.6959 0.6982 0.7494
F 0.2059 0.7941 0.0000
Fe 0.0106 0.9894 0.7326
O 0.6959 0.6982 0.2506

Model 3:
! Fe4O5F3 | Alexandria via LeMat-Bulk | meta-GGA SCAN | single point on PBEsol structure; values from VASP
! Symmetry   Imm2 (44)
! Magnetization   12.95 μB/cell
&SYSTEM
  ibrav = 0, nat = 12, ntyp = 3
/
ATOMIC_SPECIES
O 16.00 O.upf
Fe 55.84 Fe.upf
F 19.00 F.upf
CELL_PARAMETERS angstrom
5.3488 -0.0686 0.0033
-2.3440 4.8083 -0.0033
1.8701 2.1368 4.5334
ATOMIC_POSITIONS crystal
O 0.4454 0.9937 0.0517
O 0.5000 0.9566 0.5434
Fe 0.2724 0.5326 0.7397
F 0.0000 0.0716 0.9284
F 0.0000 0.4527 0.5473
O 0.0454 0.9937 0.4518
O 0.9546 0.5028 0.0517
O 0.5546 0.5028 0.4518
Fe 0.5000 0.2286 0.2714
Fe 0.7276 0.9879 0.7397
Fe 0.0000 0.7560 0.2440
F 0.5000 0.5210 0.9790

Most favorable structure: model 2. The second most favorable one is 72 meV per atom above it.

Model 1:
! FeWF2 | Alexandria via LeMat-Bulk | meta-GGA SCAN | single point on PBEsol structure; values from VASP
! Symmetry   R-3m (166)
! Magnetization   3.31 μB/cell
&SYSTEM
  ibrav = 0, nat = 4, ntyp = 3
/
ATOMIC_SPECIES
F 19.00 F.upf
W 183.84 W.upf
Fe 55.84 Fe.upf
CELL_PARAMETERS angstrom
2.6889 0.0000 0.0000
1.3444 2.3286 0.0000
1.3444 0.7762 7.4041
ATOMIC_POSITIONS crystal
F 0.9055 0.9055 0.2834
W 0.0000 0.0000 0.0000
Fe 0.5000 0.5000 0.5000
F 0.0945 0.0945 0.7166

Model 2:
! FeWF2 | Alexandria via LeMat-Bulk | meta-GGA SCAN | single point on PBEsol structure; values from VASP
! Symmetry   Fm-3m (225)
! Magnetization   2.22 μB/cell
&SYSTEM
  ibrav = 0, nat = 4, ntyp = 3
/
ATOMIC_SPECIES
W 183.84 W.upf
F 19.00 F.upf
Fe 55.84 Fe.upf
CELL_PARAMETERS angstrom
-2.6913 2.3822 1.7953
-2.7430 -1.5770 2.4760
0.2371 0.6765 3.9531
ATOMIC_POSITIONS crystal
W 0.5000 0.5000 0.5000
F 0.2500 0.2500 0.2500
F 0.7500 0.7500 0.7500
Fe 0.0000 0.0000 0.0000

Most favorable structure: model 1. The second most favorable one is 1289 meV per atom above it.

Model 1:
! TaGaOF2 | Alexandria via LeMat-Bulk | meta-GGA SCAN | single point on PBEsol structure; values from VASP
! Symmetry   P4/mmm (123)
! Magnetization   2.88 μB/cell
&SYSTEM
  ibrav = 0, nat = 5, ntyp = 4
/
ATOMIC_SPECIES
O 16.00 O.upf
Ga 69.72 Ga.upf
F 19.00 F.upf
Ta 180.95 Ta.upf
CELL_PARAMETERS angstrom
-2.7948 2.0035 -0.4252
-0.9069 -2.0531 -3.7135
-2.3992 -2.8840 2.1804
ATOMIC_POSITIONS crystal
O 0.5000 0.0000 0.0000
Ga 0.0000 0.0000 0.0000
F 0.0000 0.0000 0.5000
Ta 0.5000 0.5000 0.5000
F 0.0000 0.5000 0.0000

Model 2:
! TaGaOF2 | Alexandria via LeMat-Bulk | meta-GGA SCAN | single point on PBEsol structure; values from VASP
! Symmetry   P4/mmm (123)
! Magnetization   1.78 μB/cell
&SYSTEM
  ibrav = 0, nat = 5, ntyp = 4
/
ATOMIC_SPECIES
O 16.00 O.upf
Ta 180.95 Ta.upf
F 19.00 F.upf
Ga 69.72 Ga.upf
CELL_PARAMETERS angstrom
3.9271 0.0000 0.0000
0.0000 4.2325 0.0000
0.0000 0.0000 4.2325
ATOMIC_POSITIONS crystal
O 0.5000 0.0000 0.0000
Ta 0.0000 0.0000 0.0000
F 0.0000 0.0000 0.5000
Ga 0.5000 0.5000 0.5000
F 0.0000 0.5000 0.0000

Most favorable structure: model 2. The second most favorable one is 1170 meV per atom above it.

Model 1:
! MnGeNF2 | Alexandria via LeMat-Bulk | meta-GGA SCAN | single point on PBEsol structure; values from VASP
! Symmetry   P4/mmm (123)
! Magnetization   3.94 μB/cell
&SYSTEM
  ibrav = 0, nat = 5, ntyp = 4
/
ATOMIC_SPECIES
N 14.01 N.upf
F 19.00 F.upf
Mn 54.94 Mn.upf
Ge 72.64 Ge.upf
CELL_PARAMETERS angstrom
3.9301 0.0000 0.0000
0.0000 3.9301 0.0000
0.0000 0.0000 3.8623
ATOMIC_POSITIONS crystal
N 0.0000 0.0000 0.5000
F 0.0000 0.5000 0.0000
F 0.5000 0.0000 0.0000
Mn 0.0000 0.0000 0.0000
Ge 0.5000 0.5000 0.5000

Model 2:
! MnGeNF2 | Alexandria via LeMat-Bulk | meta-GGA SCAN | single point on PBEsol structure; values from VASP
! Symmetry   P4/mmm (123)
! Magnetization   4.81 μB/cell
&SYSTEM
  ibrav = 0, nat = 5, ntyp = 4
/
ATOMIC_SPECIES
F 19.00 F.upf
Mn 54.94 Mn.upf
Ge 72.64 Ge.upf
N 14.01 N.upf
CELL_PARAMETERS angstrom
-0.2646 3.6238 -0.7981
-3.7704 -0.5847 -1.4046
-1.4937 0.7090 3.7145
ATOMIC_POSITIONS crystal
F 0.0000 0.5000 0.0000
F 0.0000 0.0000 0.5000
Mn 0.5000 0.5000 0.5000
Ge 0.0000 0.0000 0.0000
N 0.5000 0.0000 0.0000

Most favorable structure: model 1. The second most favorable one is 263 meV per atom above it.

Model 1:
! GeMoF3 | Alexandria via LeMat-Bulk | meta-GGA SCAN | single point on PBEsol structure; values from VASP
! Symmetry   Pm-3m (221)
! Magnetization   5.03 μB/cell
&SYSTEM
  ibrav = 0, nat = 5, ntyp = 3
/
ATOMIC_SPECIES
Ge 72.64 Ge.upf
F 19.00 F.upf
Mo 95.94 Mo.upf
CELL_PARAMETERS angstrom
4.3107 0.0000 0.0000
0.0000 4.3107 0.0000
0.0000 0.0000 4.3107
ATOMIC_POSITIONS crystal
Ge 0.0000 0.0000 0.0000
F 0.0000 0.5000 0.0000
F 0.0000 0.0000 0.5000
F 0.5000 0.0000 0.0000
Mo 0.5000 0.5000 0.5000

Model 2:
! GeMoF3 | Alexandria via LeMat-Bulk | meta-GGA SCAN | single point on PBEsol structure; values from VASP
! Symmetry   Pm-3m (221)
! Magnetization   2.91 μB/cell
&SYSTEM
  ibrav = 0, nat = 5, ntyp = 3
/
ATOMIC_SPECIES
F 19.00 F.upf
Ge 72.64 Ge.upf
Mo 95.94 Mo.upf
CELL_PARAMETERS angstrom
-2.5150 -2.1145 2.5882
3.2900 -0.9963 2.3830
-0.5882 3.4687 2.2622
ATOMIC_POSITIONS crystal
F 0.0000 0.0000 0.5000
F 0.5000 0.0000 0.0000
F 0.0000 0.5000 0.0000
Ge 0.5000 0.5000 0.5000
Mo 0.0000 0.0000 0.0000

Most favorable structure: model 2. The second most favorable one is 272 meV per atom above it.

Model 1:
! GeTeN2F | Alexandria via LeMat-Bulk | meta-GGA SCAN | single point on PBEsol structure; values from VASP
! Symmetry   P4/mmm (123)
! Magnetization   0.00 μB/cell
&SYSTEM
  ibrav = 0, nat = 5, ntyp = 4
/
ATOMIC_SPECIES
Ge 72.64 Ge.upf
F 19.00 F.upf
Te 127.60 Te.upf
N 14.01 N.upf
CELL_PARAMETERS angstrom
4.1240 0.0000 0.0000
0.0000 4.1240 0.0000
0.0000 0.0000 4.1710
ATOMIC_POSITIONS crystal
Ge 0.5000 0.5000 0.5000
F 0.0000 0.0000 0.5000
Te 0.0000 0.0000 0.0000
N 0.0000 0.5000 0.0000
N 0.5000 0.0000 0.0000

Model 2:
! GeTeN2F | Alexandria via LeMat-Bulk | meta-GGA SCAN | single point on PBEsol structure; values from VASP
! Symmetry   P4/mmm (123)
! Magnetization   4.93 μB/cell
&SYSTEM
  ibrav = 0, nat = 5, ntyp = 4
/
ATOMIC_SPECIES
N 14.01 N.upf
Te 127.60 Te.upf
F 19.00 F.upf
Ge 72.64 Ge.upf
CELL_PARAMETERS angstrom
4.1424 0.0000 0.0000
0.0000 4.4822 0.0000
0.0000 0.0000 4.4822
ATOMIC_POSITIONS crystal
N 0.0000 0.0000 0.5000
Te 0.5000 0.0000 0.0000
N 0.0000 0.5000 0.0000
F 0.0000 0.0000 0.0000
Ge 0.5000 0.5000 0.5000

Most favorable structure: model 1. The second most favorable one is 927 meV per atom above it.

Model 1:
! TaGe3F | Alexandria via LeMat-Bulk | meta-GGA SCAN | single point on PBEsol structure; values from VASP
! Symmetry   Pm-3m (221)
! Magnetization   0.00 μB/cell
&SYSTEM
  ibrav = 0, nat = 5, ntyp = 3
/
ATOMIC_SPECIES
Ge 72.64 Ge.upf
F 19.00 F.upf
Ta 180.95 Ta.upf
CELL_PARAMETERS angstrom
4.3314 0.0000 0.0000
0.0000 4.3314 0.0000
0.0000 0.0000 4.3314
ATOMIC_POSITIONS crystal
Ge 0.0000 0.5000 0.0000
F 0.0000 0.0000 0.0000
Ge 0.5000 0.0000 0.0000
Ta 0.5000 0.5000 0.5000
Ge 0.0000 0.0000 0.5000

Model 2:
! TaGe3F | Alexandria via LeMat-Bulk | meta-GGA SCAN | single point on PBEsol structure; values from VASP
! Symmetry   Pm-3m (221)
! Magnetization   0.13 μB/cell
&SYSTEM
  ibrav = 0, nat = 5, ntyp = 3
/
ATOMIC_SPECIES
Ge 72.64 Ge.upf
Ta 180.95 Ta.upf
F 19.00 F.upf
CELL_PARAMETERS angstrom
4.9242 0.0000 0.0000
0.0000 4.9242 0.0000
0.0000 0.0000 4.9242
ATOMIC_POSITIONS crystal
Ge 0.0000 0.5000 0.0000
Ge 0.0000 0.0000 0.5000
Ta 0.0000 0.0000 0.0000
F 0.5000 0.5000 0.5000
Ge 0.5000 0.0000 0.0000

Most favorable structure: model 2. The second most favorable one is 76 meV per atom above it.

Model 1:
! TlGeF3 | Alexandria via LeMat-Bulk | meta-GGA SCAN | single point on PBEsol structure; values from VASP
! Symmetry   P1 (1)
! Magnetization   0.00 μB/cell
&SYSTEM
  ibrav = 0, nat = 5, ntyp = 3
/
ATOMIC_SPECIES
Ge 72.64 Ge.upf
Tl 204.38 Tl.upf
F 19.00 F.upf
CELL_PARAMETERS angstrom
4.5615 0.1185 -0.0904
0.0931 4.5509 -0.0751
-0.4291 -1.0420 4.6745
ATOMIC_POSITIONS crystal
Ge 0.5108 0.4873 0.4937
Tl 0.0793 0.0993 0.9378
F 0.9274 0.4872 0.5602
F 0.4910 0.9122 0.5612
F 0.4915 0.5240 0.8871

Model 2:
! TlGeF3 | Alexandria via LeMat-Bulk | meta-GGA SCAN | single point on PBEsol structure; values from VASP
! Symmetry   P2_1/m (11)
! Magnetization   0.00 μB/cell
&SYSTEM
  ibrav = 0, nat = 10, ntyp = 3
/
ATOMIC_SPECIES
F 19.00 F.upf
Tl 204.38 Tl.upf
Ge 72.64 Ge.upf
CELL_PARAMETERS angstrom
-1.3250 -0.1064 -4.5597
-0.0613 -5.8057 0.1533
-6.0480 0.1599 3.6342
ATOMIC_POSITIONS crystal
F 0.1849 0.9758 0.8278
Tl 0.6683 0.2500 0.8043
Ge 0.9253 0.2500 0.3644
F 0.3062 0.2500 0.3407
F 0.8151 0.4758 0.1722
F 0.8151 0.0242 0.1722
Tl 0.3317 0.7500 0.1957
Ge 0.0747 0.7500 0.6356
F 0.6938 0.7500 0.6593
F 0.1849 0.5242 0.8278

Most favorable structure: model 2. The second most favorable one is 30 meV per atom above it.